First-principles (PBE+U) data for an optimized crystal structure of MnSbOsO, as listed in the Alexandria database.

Lattice parameters (Å, degrees): 8.2493 3.4068 5.8892 90.00 118.35 90.00
Last column: magnetic moment on the atom in μB.
Element x y z (fractional)
Os  0.7683  0.5000  0.4540  0.17
Os  0.7683  0.0000  0.9540  0.17
Sb  0.5302  0.5000  0.6289  0.00
Sb  0.5302  0.0000  0.1289  0.00
Mn  0.1265  0.0000  0.8586  4.55
Mn  0.1265  0.5000  0.3586  4.55
O  0.0571  0.0000  0.1462  0.07
O  0.0571  0.5000  0.6462  0.07

* calculated total energy: -57.88 eV/cell
* space group: No. 8